[1]
First-principles (GGA-PBE) data for a relaxed structure of TaBeCuB, as listed in OQMD via LeMat-Bulk.

* total magnetization: 0.0 μB/cell

```
TaBeCuB
1.0
-1.0775 0.4110 3.8386
-3.0626 -2.1331 1.4613
0.6873 -2.9690 2.6034
B Be Cu Ta
1 1 1 1
direct
0.0000 0.0000 0.0000
0.2500 0.2500 0.2500
0.7500 0.7500 0.7500
0.5000 0.5000 0.5000
```

---

[2]
First-principles (GGA-PBE) data for a relaxed structure of Dy2Y2Er3Ni2Te2, as listed in OQMD via LeMat-Bulk.

* total magnetization: 0.0 μB/cell

```
Dy2Y2Er3Ni2Te2
1.0
2.1691 1.2363 8.9892
-5.9167 6.0017 -4.0016
2.5922 -7.8920 4.2469
Er Te Dy Y Ni
3 2 2 2 2
direct
0.9766 0.4766 0.5000
0.8934 0.7469 0.1466
0.6003 0.7469 0.8534
0.2409 0.2409 0.0000
0.6420 0.1420 0.5000
0.5274 0.8955 0.6320
0.2635 0.8955 0.3680
0.2817 0.0972 0.1844
0.9128 0.0972 0.8156
0.1418 0.4037 0.7381
0.6656 0.4037 0.2619
```

---

[3]
First-principles (GGA-PBE) data for a relaxed structure of AlCdCoNi, as listed in OQMD via LeMat-Bulk.

* total magnetization: 0.4 μB/cell

```
AlCdCoNi
1.0
3.0628 -1.8044 2.3599
1.2446 1.8353 3.6453
-0.9746 -1.8078 3.7400
Co Cd Ni Al
1 1 1 1
direct
0.7500 0.7500 0.7500
0.2500 0.2500 0.2500
0.5000 0.5000 0.5000
0.0000 0.0000 0.0000
```

---

[4]
First-principles (GGA-PBE) data for a relaxed structure of ZnAgGe2, as listed in OQMD via LeMat-Bulk.

```
ZnAgGe2
1.0
0.0000 3.3215 3.3215
3.3215 0.0000 3.3215
3.3215 3.3215 0.0000
Ge Zn Ag
2 1 1
direct
0.2500 0.2500 0.2500
0.0000 0.0000 0.0000
0.5000 0.5000 0.5000
0.7500 0.7500 0.7500
```

---

[5]
First-principles (GGA-PBE) data for a relaxed structure of ZnMo4AsC2, as listed in OQMD via LeMat-Bulk.

* total magnetization: 0.0 μB/cell

```
ZnMo4AsC2
1.0
-0.5597 3.0577 0.0693
-1.7607 -1.8633 -1.7595
-8.0903 -1.7055 9.9023
Zn Mo C As
1 4 2 1
direct
0.6667 0.3333 0.0000
0.6667 0.3333 0.6538
0.6667 0.3333 0.3462
0.3333 0.6667 0.1683
0.3333 0.6667 0.8317
0.0000 0.0000 0.7464
0.0000 0.0000 0.2536
0.3333 0.6667 0.5000
```

---

[6]
First-principles (GGA-PBE) data for a relaxed structure of NdLu, as listed in OQMD via LeMat-Bulk.

* energy of formation: 0.044 eV per atom
* total magnetization: 0.0 μB/cell

```
NdLu
1.0
3.6129 0.0000 0.0000
-1.8064 3.1289 0.0000
0.0000 0.0000 5.7071
Lu Nd
1 1
direct
0.6667 0.3333 0.7500
0.3333 0.6667 0.2500
```

---

Values of VASP energy, in order: -5.684; -5.510; -4.263; -3.092; -8.498; -4.600, all in eV per atom.